No. 1
This record from the Alexandria database describes a relaxed structure of Sm2WO6. The functional is GGA-PBEsol.

a = 5.422 Å, b = 7.727 Å, c = 11.509 Å
α = 104.13°, β = 90.00°, γ = 90.00°
Sites, in units of the cell vectors:
Sm1 0.263 0.000 0.750
Sm2 0.737 0.000 0.250
Sm3 0.811 0.797 0.924
Sm4 0.189 0.797 0.424
Sm5 0.319 0.500 0.750
Sm6 0.681 0.500 0.250
Sm7 0.811 0.203 0.576
Sm8 0.189 0.203 0.076
W1 0.747 0.723 0.614
W2 0.253 0.723 0.114
W3 0.747 0.277 0.886
W4 0.253 0.277 0.386
O1 0.960 0.934 0.603
O2 0.484 0.854 0.571
O3 0.040 0.934 0.103
O4 0.540 0.782 0.768
O5 0.516 0.854 0.071
O6 0.011 0.711 0.727
O7 0.460 0.782 0.268
O8 0.155 0.636 0.954
O9 0.643 0.493 0.612
O10 0.989 0.711 0.227
O11 0.643 0.507 0.888
O12 0.155 0.364 0.546
O13 0.845 0.636 0.454
O14 0.357 0.493 0.112
O15 0.011 0.289 0.773
O16 0.357 0.507 0.388
O17 0.845 0.364 0.046
O18 0.540 0.218 0.732
O19 0.989 0.289 0.273
O20 0.484 0.146 0.929
O21 0.460 0.218 0.232
O22 0.960 0.066 0.897
O23 0.516 0.146 0.429
O24 0.040 0.066 0.397

* energy relative to the lowest polymorph listed for this composition: 0.00 eV per formula unit

***

No. 2
This record from the Alexandria database describes a relaxed structure of Sm2WO6. The functional is GGA-PBEsol.

a = 5.306 Å, b = 9.182 Å, c = 10.017 Å
α = 90.00°, β = 90.00°, γ = 90.00°
Sites, in units of the cell vectors:
Sm1 0.024 0.397 0.035
Sm2 0.035 0.281 0.629
Sm3 0.465 0.719 0.129
Sm4 0.476 0.603 0.535
Sm5 0.524 0.103 0.965
Sm6 0.535 0.219 0.371
Sm7 0.965 0.781 0.871
Sm8 0.976 0.897 0.465
W1 0.042 0.004 0.150
W2 0.458 0.996 0.650
W3 0.542 0.496 0.850
W4 0.958 0.504 0.350
O1 0.071 0.653 0.474
O2 0.173 0.549 0.209
O3 0.185 0.865 0.680
O4 0.187 0.860 0.263
O5 0.226 0.389 0.435
O6 0.248 0.091 0.508
O7 0.252 0.909 0.008
O8 0.274 0.611 0.935
O9 0.313 0.140 0.763
O10 0.315 0.135 0.180
O11 0.327 0.451 0.709
O12 0.429 0.347 0.974
O13 0.571 0.847 0.526
O14 0.673 0.951 0.791
O15 0.685 0.635 0.320
O16 0.687 0.640 0.737
O17 0.726 0.111 0.565
O18 0.748 0.409 0.492
O19 0.752 0.591 0.992
O20 0.774 0.889 0.065
O21 0.813 0.360 0.237
O22 0.815 0.365 0.820
O23 0.827 0.049 0.291
O24 0.929 0.153 0.026

* energy relative to the lowest polymorph listed for this composition: 0.04 eV per formula unit

***

No. 3
This record from the Alexandria database describes a relaxed structure of Sm2WO6. The functional is GGA-PBEsol.

a = 5.456 Å, b = 9.725 Å, c = 9.725 Å
α = 69.95°, β = 77.49°, γ = 77.49°
Sites, in units of the cell vectors:
Sm1 0.610 0.289 0.061
Sm2 0.110 0.061 0.289
Sm3 0.750 0.377 0.623
Sm4 0.750 0.890 0.110
Sm5 0.250 0.110 0.890
Sm6 0.250 0.623 0.377
Sm7 0.890 0.939 0.711
Sm8 0.390 0.711 0.939
W1 0.919 0.503 0.182
W2 0.419 0.182 0.503
W3 0.581 0.818 0.497
W4 0.081 0.497 0.818
O1 0.920 0.081 0.102
O2 0.420 0.102 0.081
O3 0.715 0.038 0.470
O4 0.858 0.313 0.222
O5 0.215 0.470 0.038
O6 0.358 0.222 0.313
O7 0.603 0.622 0.183
O8 0.103 0.183 0.622
O9 0.967 0.463 0.375
O10 0.581 0.151 0.679
O11 0.467 0.375 0.463
O12 0.081 0.679 0.151
O13 0.919 0.321 0.849
O14 0.533 0.625 0.537
O15 0.419 0.849 0.321
O16 0.033 0.537 0.625
O17 0.897 0.817 0.378
O18 0.397 0.378 0.817
O19 0.642 0.778 0.687
O20 0.785 0.530 0.962
O21 0.142 0.687 0.778
O22 0.285 0.962 0.530
O23 0.580 0.898 0.919
O24 0.080 0.919 0.898

* energy relative to the lowest polymorph listed for this composition: 0.11 eV per formula unit

***

No. 4
This record from the Alexandria database describes a relaxed structure of Sm2W3O12. The functional is GGA-PBEsol.

a = 6.889 Å, b = 6.889 Å, c = 11.485 Å
α = 101.13°, β = 101.13°, γ = 111.82°
Sites, in units of the cell vectors:
Sm1 0.949 0.696 0.407
Sm2 0.696 0.949 0.907
Sm3 0.304 0.051 0.093
Sm4 0.051 0.304 0.593
W1 0.798 0.512 0.050
W2 0.512 0.798 0.550
W3 0.884 0.116 0.250
W4 0.116 0.884 0.750
W5 0.488 0.202 0.450
W6 0.202 0.488 0.950
O1 0.801 0.660 0.198
O2 0.989 0.404 0.280
O3 0.947 0.027 0.108
O4 0.603 0.668 0.439
O5 0.627 0.226 0.041
O6 0.325 0.899 0.425
O7 0.660 0.801 0.698
O8 0.101 0.675 0.075
O9 0.774 0.373 0.459
O10 0.332 0.397 0.061
O11 0.973 0.053 0.392
O12 0.404 0.989 0.780
O13 0.596 0.011 0.220
O14 0.027 0.947 0.608
O15 0.668 0.603 0.939
O16 0.226 0.627 0.541
O17 0.899 0.325 0.925
O18 0.340 0.199 0.302
O19 0.675 0.101 0.575
O20 0.373 0.774 0.959
O21 0.397 0.332 0.561
O22 0.053 0.973 0.892
O23 0.011 0.596 0.720
O24 0.199 0.340 0.802

* energy relative to the lowest polymorph listed for this composition: 0.00 eV per formula unit

***

No. 5
This record from the Alexandria database describes a relaxed structure of Sm11Y5O24. The functional is GGA-PBEsol.

a = 9.314 Å, b = 9.315 Å, c = 9.328 Å
α = 109.48°, β = 109.48°, γ = 109.39°
Sites, in units of the cell vectors:
Sm1 0.507 0.003 0.006
Sm2 0.219 0.470 0.750
Sm3 0.992 0.001 0.498
Sm4 0.000 0.497 0.999
Sm5 0.500 0.500 0.499
Sm6 0.251 0.719 0.469
Sm7 0.781 0.532 0.250
Sm8 0.281 0.031 0.251
Sm9 0.532 0.250 0.781
Sm10 0.967 0.749 0.720
Sm11 0.248 0.218 0.969
Y1 0.750 0.784 0.032
Y2 0.030 0.249 0.281
Y3 0.470 0.752 0.219
Y4 0.718 0.967 0.751
Y5 0.750 0.280 0.532
O1 0.269 0.508 0.537
O2 0.475 0.732 0.963
O3 0.725 0.759 0.266
O4 0.232 0.958 0.972
O5 0.006 0.535 0.768
O6 0.518 0.746 0.471
O7 0.231 0.768 0.239
O8 0.025 0.988 0.257
O9 0.737 0.732 0.773
O10 0.465 0.970 0.733
O11 0.248 0.477 0.017
O12 0.954 0.232 0.483
O13 0.761 0.534 0.988
O14 0.041 0.774 0.512
O15 0.254 0.270 0.230
O16 0.546 0.029 0.277
O17 0.770 0.224 0.755
O18 0.965 0.011 0.742
O19 0.987 0.454 0.228
O20 0.493 0.261 0.529
O21 0.776 0.042 0.030
O22 0.267 0.239 0.726
O23 0.729 0.484 0.459
O24 0.529 0.270 0.040

***

No. 6
This record from the Alexandria database describes a relaxed structure of Sm3Y5O12. The functional is GGA-PBEsol.

a = 9.235 Å, b = 9.235 Å, c = 9.235 Å
α = 70.49°, β = 70.52°, γ = 109.43°
Sites, in units of the cell vectors:
Sm1 0.996 0.998 0.001
Sm2 0.999 0.497 0.499
Sm3 0.501 0.502 0.002
Sm4 0.504 0.003 0.498
Sm5 0.281 0.031 0.250
Sm6 0.219 0.469 0.750
Y1 0.781 0.531 0.250
Y2 0.250 0.719 0.031
Y3 0.750 0.781 0.469
Y4 0.968 0.750 0.782
Y5 0.470 0.750 0.280
Y6 0.719 0.969 0.750
Y7 0.532 0.250 0.718
Y8 0.030 0.250 0.220
Y9 0.750 0.283 0.967
Y10 0.250 0.217 0.533
O1 0.514 0.746 0.028
O2 0.725 0.754 0.232
O3 0.955 0.231 0.016
O4 0.756 0.529 0.512
O5 0.545 0.030 0.224
O6 0.744 0.732 0.727
O7 0.775 0.042 0.472
O8 0.986 0.458 0.268
O9 0.476 0.732 0.537
O10 0.231 0.768 0.256
O11 0.732 0.488 0.042
O12 0.970 0.012 0.756
O13 0.024 0.987 0.244
O14 0.530 0.275 0.458
O15 0.269 0.513 0.963
O16 0.768 0.225 0.744
O17 0.008 0.542 0.730
O18 0.228 0.958 0.534
O19 0.254 0.269 0.276
O20 0.459 0.971 0.773
O21 0.246 0.470 0.484
O22 0.041 0.768 0.988
O23 0.272 0.238 0.770
O24 0.492 0.262 0.966

***

No. 7
This record from the Alexandria database describes a relaxed structure of Sm2Zr2O7. The functional is GGA-PBEsol.

a = 7.466 Å, b = 7.466 Å, c = 7.466 Å
α = 60.00°, β = 60.00°, γ = 60.00°
Sites, in units of the cell vectors:
Sm1 0.125 0.625 0.125
Sm2 0.125 0.125 0.625
Sm3 0.125 0.125 0.125
Sm4 0.625 0.125 0.125
Zr1 0.625 0.125 0.625
Zr2 0.625 0.625 0.125
Zr3 0.625 0.625 0.625
Zr4 0.125 0.625 0.625
O1 0.250 0.250 0.250
O2 0.000 0.000 0.000
O3 0.963 0.537 0.963
O4 0.713 0.287 0.713
O5 0.963 0.963 0.537
O6 0.963 0.537 0.537
O7 0.537 0.963 0.963
O8 0.537 0.537 0.963
O9 0.537 0.963 0.537
O10 0.713 0.287 0.287
O11 0.287 0.713 0.713
O12 0.287 0.713 0.287
O13 0.713 0.713 0.287
O14 0.287 0.287 0.713

***

No. 8
This record from the Alexandria database describes a relaxed structure of Sm2Zr2O7. The functional is GGA-PBEsol.

a = 5.580 Å, b = 5.948 Å, c = 5.948 Å
α = 107.75°, β = 95.84°, γ = 95.84°
Sites, in units of the cell vectors:
O1 0.204 0.404 0.062
O2 0.204 0.062 0.404
O3 0.727 0.444 0.444
O4 0.500 0.000 0.000
O5 0.273 0.556 0.556
O6 0.796 0.938 0.596
O7 0.796 0.596 0.938
Zr1 0.402 0.257 0.257
Zr2 0.598 0.743 0.743
Sm1 0.000 0.308 0.692
Sm2 0.000 0.692 0.308

***

no.,uncorrected formation energy (eV per atom)
1,-3.03
2,-3.03
3,-3.02
4,-2.61
5,-3.52
6,-3.56
7,-3.51
8,-3.40